VASP calculation (PBE) on a relaxed PuGaPt crystal.

Structure (POSCAR):
```
PuGaPt
1.0
4.213 0.000 0.000
0.000 4.229 0.000
-0.057 0.000 6.956
Pu Ga Pt
2 2 2
Direct
0.248 0.250 0.147
0.752 0.750 0.853
0.249 0.750 0.501
0.751 0.250 0.499
0.254 0.250 0.726
0.746 0.750 0.274
```

VASP calculation (PBE) on a relaxed PuGa2Pt3 crystal.

Structure (POSCAR):
```
PuGa2Pt3
1.0
8.400 -2.037 0.000
8.400 2.037 0.000
-2.748 0.000 9.602
Pu Ga Pt
3 6 9
Direct
0.000 0.000 0.000
0.166 0.166 0.709
0.834 0.834 0.291
0.193 0.193 0.124
0.361 0.361 0.545
0.460 0.460 0.224
0.540 0.540 0.776
0.639 0.639 0.455
0.807 0.807 0.876
0.042 0.042 0.335
0.219 0.219 0.391
0.324 0.324 0.047
0.387 0.387 0.810
0.500 0.500 0.500
0.613 0.613 0.190
0.676 0.676 0.953
0.781 0.781 0.609
0.958 0.958 0.665
```

VASP calculation (PBE) on a relaxed PuGaPt crystal.

Structure (POSCAR):
```
PuGaPt
1.0
3.412 -4.104 0.000
3.412 4.104 0.000
-3.129 0.000 4.399
Pu Ga Pt
2 2 2
Direct
0.121 0.879 0.750
0.879 0.121 0.250
0.497 0.503 0.750
0.503 0.497 0.250
0.000 0.500 0.000
0.500 0.000 0.500
```

VASP calculation (PBE) on a relaxed PuGaPt2 crystal.

Structure (POSCAR):
```
PuGaPt2
1.0
7.377 0.000 0.000
0.000 7.081 0.000
0.000 0.000 5.806
Pu Ga Pt
4 4 8
Direct
0.027 0.250 0.149
0.473 0.750 0.649
0.527 0.250 0.351
0.973 0.750 0.851
0.115 0.750 0.349
0.385 0.250 0.849
0.615 0.750 0.151
0.885 0.250 0.651
0.186 0.050 0.579
0.186 0.450 0.579
0.314 0.550 0.079
0.314 0.950 0.079
0.686 0.050 0.921
0.686 0.450 0.921
0.814 0.550 0.421
0.814 0.950 0.421
```

VASP calculation (PBE) on a relaxed Pu2Ga8Pt crystal.

Structure (POSCAR):
```
Pu2Ga8Pt
1.0
4.343 0.000 0.000
0.000 4.343 0.000
0.000 0.000 11.183
Pu Ga Pt
2 8 1
Direct
0.000 0.000 0.191
0.000 0.000 0.809
0.000 0.500 0.000
0.000 0.500 0.372
0.000 0.500 0.628
0.500 0.000 0.000
0.500 0.000 0.372
0.500 0.000 0.628
0.500 0.500 0.192
0.500 0.500 0.808
0.000 0.000 0.500
```

VASP calculation (PBE) on a relaxed Pu2GaPt crystal.

Structure (POSCAR):
```
Pu2GaPt
1.0
3.810 0.000 0.000
0.000 3.810 0.000
0.000 0.000 5.900
Pu Ga Pt
2 1 1
Direct
0.000 0.000 0.244
0.000 0.000 0.756
0.500 0.500 0.500
0.500 0.500 0.000
```

VASP calculation (PBE) on a relaxed Pu2Ga5Pt4 crystal.

Structure (POSCAR):
```
Pu2Ga5Pt4
1.0
0.000 4.690 8.114
2.751 0.000 8.114
2.751 4.690 0.000
Pu Ga Pt
2 5 4
Direct
0.130 0.130 0.870
0.870 0.870 0.130
0.000 0.000 0.500
0.250 0.250 0.250
0.500 0.500 0.000
0.500 0.500 0.500
0.750 0.750 0.750
0.213 0.525 0.475
0.475 0.787 0.213
0.525 0.213 0.787
0.787 0.475 0.525
```

VASP calculation (PBE) on a relaxed Pu2GaPt crystal.

Structure (POSCAR):
```
Pu2GaPt
1.0
3.620 0.000 0.000
0.000 3.620 0.000
0.000 0.000 5.107
Pu Ga Pt
2 1 1
Direct
0.000 0.500 0.000
0.500 0.000 0.000
0.000 0.000 0.500
0.500 0.500 0.500
```

VASP calculation (PBE) on a relaxed Pu3Ga4Pt crystal.

Structure (POSCAR):
```
Pu3Ga4Pt
1.0
-2.332 3.355 6.066
2.332 -3.355 6.066
2.332 3.355 -6.066
Pu Ga Pt
3 4 1
Direct
0.000 0.000 0.000
0.345 0.845 0.500
0.655 0.155 0.500
0.068 0.367 0.701
0.334 0.633 0.701
0.666 0.367 0.299
0.932 0.633 0.299
0.500 0.500 0.000
```

VASP calculation (PBE) on a relaxed Pu2Ga5Pt crystal.

Structure (POSCAR):
```
Pu2Ga5Pt
1.0
2.140 -8.262 0.000
2.140 8.262 0.000
0.000 0.000 9.057
Pu Ga Pt
4 10 2
Direct
0.000 0.000 0.000
0.000 0.000 0.500
0.195 0.805 0.750
0.805 0.195 0.250
0.192 0.808 0.106
0.192 0.808 0.394
0.354 0.646 0.026
0.354 0.646 0.474
0.406 0.594 0.750
0.594 0.406 0.250
0.646 0.354 0.526
0.646 0.354 0.974
0.808 0.192 0.606
0.808 0.192 0.894
0.444 0.556 0.250
0.556 0.444 0.750
```

VASP calculation (PBE) on a relaxed Pu6GaPt3 crystal.

Structure (POSCAR):
```
Pu6GaPt3
1.0
8.690 0.000 0.000
0.000 5.689 0.000
-5.109 0.000 8.790
Pu Ga Pt
12 2 6
Direct
0.069 0.007 0.364
0.069 0.493 0.864
0.335 0.209 0.698
0.335 0.291 0.198
0.342 0.503 0.511
0.342 0.997 0.011
0.658 0.003 0.989
0.658 0.497 0.489
0.665 0.709 0.802
0.665 0.791 0.302
0.931 0.507 0.136
0.931 0.993 0.636
0.500 0.000 0.500
0.500 0.500 0.000
0.000 0.000 0.000
0.000 0.500 0.500
0.282 0.738 0.743
0.282 0.762 0.243
0.718 0.238 0.757
0.718 0.262 0.257
```

VASP calculation (PBE) on a relaxed PuGa9Pt2 crystal.

Structure (POSCAR):
```
PuGa9Pt2
1.0
-5.705 5.705 3.324
5.705 -5.705 3.324
5.705 5.705 -3.324
Pu Ga Pt
2 18 4
Direct
0.375 0.625 0.750
0.625 0.375 0.250
0.102 0.547 0.318
0.102 0.783 0.555
0.125 0.875 0.250
0.217 0.271 0.318
0.217 0.898 0.945
0.271 0.217 0.818
0.271 0.453 0.055
0.453 0.271 0.555
0.453 0.898 0.182
0.547 0.102 0.818
0.547 0.729 0.445
0.729 0.547 0.945
0.729 0.783 0.182
0.783 0.102 0.055
0.783 0.729 0.682
0.875 0.125 0.750
0.898 0.217 0.445
0.898 0.453 0.682
0.000 0.000 0.000
0.000 0.000 0.500
0.000 0.500 0.000
0.500 0.000 0.500
```

Record order is preserved below.
Total DFT energy (no corrections): -0.6227, -0.5253, -0.6096, -0.5985, -0.4282, -0.7338, -0.5012, -0.7032, -0.5774, -0.4911, -0.8210, -0.3505 Ry per atom